Density functional theory data (PBEsol) for a relaxed structure of K3SeO4F.

Output
M_tot: 0.00 μB/cell
VASP energy: -5.0538 eV per atom
D(E_F): 0.0 states/eV/cell

a b c (Å): 7.706 7.706 7.706
angles (deg): 123.69 123.69 83.73
Element x y z (fractional)
1 K 0.189 0.689 0.877
2 K 0.250 0.250 0.000
3 K 0.311 0.189 0.500
4 K 0.689 0.811 0.500
5 K 0.750 0.750 0.000
6 K 0.811 0.311 0.123
7 Se 0.250 0.750 0.500
8 Se 0.750 0.250 0.500
9 O 0.034 0.794 0.500
10 O 0.206 0.706 0.240
11 O 0.294 0.534 0.500
12 O 0.466 0.966 0.760
13 O 0.534 0.034 0.240
14 O 0.706 0.466 0.500
15 O 0.794 0.294 0.760
16 O 0.966 0.206 0.500
17 F 0.000 0.000 0.000
18 F 0.500 0.500 0.000